# CdP2Pb

A geometry-optimized CdP2Pb structure (PBE-GGA, the Alexandria database).

It has space group R3m (No. 160, hexagonal axes), with a = 3.3433 Å, b = 3.3433 Å, c = 28.8181 Å, α = 90.00°, β = 90.00° and γ = 120.00°. The distinct sites, in fractional coordinates, are Cd at (0.0000, 0.0000, 0.0000), P at (0.0000, 0.0000, 0.2461), P at (0.0000, 0.0000, 0.5379) and Pb at (0.0000, 0.0000, 0.7640).

As for the formation energy: 0.080 eV/atom.